Material: Dy4ZnCu3
Method: DFT, PBE-GGA
State: optimized geometry

The structure in POSCAR format:
```
Dy4ZnCu3
1.0
3.752 0.000 0.000
0.000 4.518 0.000
0.000 0.000 10.387
Dy Zn Cu
4 1 3
direct
0.000 0.000 0.000 Dy
0.000 0.500 0.274 Dy
0.500 0.000 0.486 Dy
0.500 0.500 0.778 Dy
0.000 0.000 0.707 Zn
0.000 0.500 0.563 Cu
0.500 0.000 0.207 Cu
0.500 0.500 0.065 Cu
```

Values from the calculation:
Energy relative to the elements: -253 meV per atom
Energy relative to the lowest polymorph listed for this composition: 1.8 kJ/mol of atoms
Symmetry: Pmm2, No. 25

=====

Material: DyZn2Cu3
Method: DFT, PBE-GGA
State: optimized geometry

The structure in POSCAR format:
```
DyZn2Cu3
1.0
4.238 0.000 0.000
-2.119 3.670 0.000
0.000 0.000 12.370
Dy Zn Cu
2 4 6
direct
0.000 0.000 0.250 Dy
0.000 0.000 0.750 Dy
0.333 0.667 0.083 Zn
0.333 0.667 0.417 Zn
0.667 0.333 0.583 Zn
0.667 0.333 0.917 Zn
0.000 0.000 0.000 Cu
0.000 0.000 0.500 Cu
0.333 0.667 0.621 Cu
0.333 0.667 0.879 Cu
0.667 0.333 0.121 Cu
0.667 0.333 0.379 Cu
```

Values from the calculation:
Energy relative to the elements: -196 meV per atom
Symmetry: P6_3/mmc, No. 194

=====

Material: DyZn2Cu9
Method: DFT, PBE-GGA
State: optimized geometry

The structure in POSCAR format:
```
DyZn2Cu9
1.0
2.500 1.443 7.831
-2.500 1.443 7.831
0.000 -2.887 7.831
Dy Zn Cu
1 2 9
direct
0.000 0.000 0.000 Dy
0.146 0.146 0.146 Zn
0.854 0.854 0.854 Zn
0.081 0.589 0.589 Cu
0.334 0.334 0.334 Cu
0.411 0.411 0.919 Cu
0.411 0.919 0.411 Cu
0.500 0.500 0.500 Cu
0.589 0.081 0.589 Cu
0.589 0.589 0.081 Cu
0.666 0.666 0.666 Cu
0.919 0.411 0.411 Cu
```

Values from the calculation:
Energy relative to the elements: -92 meV per atom
Energy relative to the lowest polymorph listed for this composition: 2.2 kJ/mol of atoms
Symmetry: R-3m, No. 166

=====

Material: DyZn2Cu10
Method: DFT, PBE-GGA
State: optimized geometry

The structure in POSCAR format:
```
DyZn2Cu10
1.0
0.000 5.973 6.117
2.440 0.000 6.117
2.440 5.973 0.000
Dy Zn Cu
1 2 10
direct
0.000 0.000 0.000 Dy
0.000 0.500 0.000 Zn
0.500 0.000 0.500 Zn
0.000 0.000 0.500 Cu
0.005 0.645 0.355 Cu
0.280 0.502 0.498 Cu
0.355 0.995 0.005 Cu
0.498 0.720 0.280 Cu
0.500 0.500 0.000 Cu
0.502 0.280 0.720 Cu
0.645 0.005 0.995 Cu
0.720 0.498 0.502 Cu
0.995 0.355 0.645 Cu
```

Values from the calculation:
Energy relative to the elements: -105 meV per atom
Symmetry: Fmmm, No. 69

=====

Material: DyZn4Cu8
Method: DFT, PBE-GGA
State: optimized geometry

The structure in POSCAR format:
```
DyZn4Cu8
1.0
-4.308 4.308 2.464
4.308 -4.308 2.464
4.308 4.308 -2.464
Dy Zn Cu
1 4 8
direct
0.000 0.000 0.000 Dy
0.000 0.000 0.500 Zn
0.000 0.500 0.000 Zn
0.500 0.000 0.000 Zn
0.500 0.500 0.500 Zn
0.000 0.356 0.356 Cu
0.000 0.644 0.644 Cu
0.282 0.500 0.782 Cu
0.356 0.000 0.356 Cu
0.500 0.282 0.782 Cu
0.500 0.718 0.218 Cu
0.644 0.000 0.644 Cu
0.718 0.500 0.218 Cu
```

Values from the calculation:
Energy relative to the elements: -127 meV per atom
Symmetry: I4/mmm, No. 139

=====

Material: DyZn2Cu
Method: DFT, PBE-GGA
State: optimized geometry

The structure in POSCAR format:
```
DyZn2Cu
1.0
6.526 0.000 0.000
0.000 6.526 0.000
0.000 0.000 6.526
Dy Zn Cu
4 8 4
direct
0.000 0.000 0.000 Dy
0.000 0.500 0.500 Dy
0.500 0.000 0.500 Dy
0.500 0.500 0.000 Dy
0.250 0.250 0.250 Zn
0.250 0.250 0.750 Zn
0.250 0.750 0.250 Zn
0.250 0.750 0.750 Zn
0.750 0.250 0.250 Zn
0.750 0.250 0.750 Zn
0.750 0.750 0.250 Zn
0.750 0.750 0.750 Zn
0.000 0.000 0.500 Cu
0.000 0.500 0.000 Cu
0.500 0.000 0.000 Cu
0.500 0.500 0.500 Cu
```

Values from the calculation:
Energy relative to the elements: -220 meV per atom
Symmetry: Fm-3m, No. 225

=====

Material: Dy4ZnCu2
Method: DFT, PBE-GGA
State: optimized geometry

The structure in POSCAR format:
```
Dy4ZnCu2
1.0
7.068 0.000 0.000
1.934 6.849 0.000
2.494 -0.031 6.958
Dy Zn Cu
8 2 4
direct
0.000 0.000 0.000 Dy
0.013 0.928 0.524 Dy
0.094 0.394 0.521 Dy
0.322 0.530 0.046 Dy
0.467 0.038 0.140 Dy
0.512 0.869 0.670 Dy
0.627 0.317 0.460 Dy
0.829 0.537 0.965 Dy
0.433 0.683 0.346 Zn
0.836 0.700 0.314 Zn
0.050 0.281 0.200 Cu
0.230 0.628 0.711 Cu
0.279 0.255 0.827 Cu
0.702 0.221 0.813 Cu
```

Values from the calculation:
Energy relative to the elements: -141 meV per atom
Energy relative to the lowest polymorph listed for this composition: 0.9 kJ/mol of atoms
Symmetry: P1, No. 1

=====

Material: DyZn7Cu5
Method: DFT, PBE-GGA
State: optimized geometry

The structure in POSCAR format:
```
DyZn7Cu5
1.0
4.954 -4.406 0.000
4.954 4.406 0.000
-2.352 0.000 4.364
Dy Zn Cu
1 7 5
direct
0.000 0.000 0.000 Dy
0.205 0.779 0.494 Zn
0.335 0.636 0.987 Zn
0.344 0.344 0.333 Zn
0.636 0.335 0.987 Zn
0.648 0.648 0.663 Zn
0.772 0.772 0.278 Zn
0.779 0.205 0.494 Zn
0.212 0.212 0.711 Cu
0.489 0.989 0.993 Cu
0.490 0.991 0.493 Cu
0.989 0.489 0.993 Cu
0.991 0.490 0.493 Cu
```

Values from the calculation:
Energy relative to the elements: -187 meV per atom
Symmetry: Cm, No. 8

=====

Material: DyZn6Cu12
Method: DFT, PBE-GGA
State: optimized geometry

The structure in POSCAR format:
```
DyZn6Cu12
1.0
5.303 3.061 2.867
-5.303 3.061 2.867
0.000 -6.123 2.867
Dy Zn Cu
1 6 12
direct
0.000 0.000 0.000 Dy
0.287 0.287 0.698 Zn
0.287 0.698 0.287 Zn
0.302 0.713 0.713 Zn
0.698 0.287 0.287 Zn
0.713 0.302 0.713 Zn
0.713 0.713 0.302 Zn
0.110 0.500 0.890 Cu
0.110 0.890 0.500 Cu
0.115 0.369 0.369 Cu
0.369 0.115 0.369 Cu
0.369 0.369 0.115 Cu
0.500 0.110 0.890 Cu
0.500 0.890 0.110 Cu
0.631 0.631 0.885 Cu
0.631 0.885 0.631 Cu
0.885 0.631 0.631 Cu
0.890 0.110 0.500 Cu
0.890 0.500 0.110 Cu
```

Values from the calculation:
Energy relative to the elements: 39 meV per atom
Symmetry: R-3m, No. 166

=====

Material: DyZn12Cu6
Method: DFT, PBE-GGA
State: optimized geometry

The structure in POSCAR format:
```
DyZn12Cu6
1.0
5.504 3.178 2.810
-5.504 3.178 2.810
0.000 -6.356 2.810
Dy Zn Cu
1 12 6
direct
0.000 0.000 0.000 Dy
0.113 0.500 0.887 Zn
0.113 0.887 0.500 Zn
0.139 0.393 0.393 Zn
0.393 0.139 0.393 Zn
0.393 0.393 0.139 Zn
0.500 0.113 0.887 Zn
0.500 0.887 0.113 Zn
0.607 0.607 0.861 Zn
0.607 0.861 0.607 Zn
0.861 0.607 0.607 Zn
0.887 0.113 0.500 Zn
0.887 0.500 0.113 Zn
0.284 0.284 0.705 Cu
0.284 0.705 0.284 Cu
0.295 0.716 0.716 Cu
0.705 0.284 0.284 Cu
0.716 0.295 0.716 Cu
0.716 0.716 0.295 Cu
```

Values from the calculation:
Energy relative to the elements: -47 meV per atom
Symmetry: R-3m, No. 166

=====

Material: DyZn2Cu
Method: DFT, PBE-GGA
State: optimized geometry

The structure in POSCAR format:
```
DyZn2Cu
1.0
3.187 0.000 0.000
0.000 3.187 0.000
0.000 0.000 6.911
Dy Zn Cu
1 2 1
direct
0.000 0.000 0.000 Dy
0.500 0.500 0.304 Zn
0.500 0.500 0.696 Zn
0.000 0.000 0.500 Cu
```

Values from the calculation:
Energy relative to the elements: -152 meV per atom
Symmetry: P4/mmm, No. 123

=====

Material: Dy3Zn2Cu9
Method: DFT, PBE-GGA
State: optimized geometry

The structure in POSCAR format:
```
Dy3Zn2Cu9
1.0
-2.087 4.399 6.175
2.087 -4.399 6.175
2.087 4.399 -6.175
Dy Zn Cu
3 2 9
direct
0.000 0.000 0.000 Dy
0.299 0.299 0.000 Dy
0.701 0.701 0.000 Dy
0.298 0.500 0.798 Zn
0.702 0.500 0.202 Zn
0.029 0.670 0.358 Cu
0.156 0.873 0.283 Cu
0.312 0.670 0.642 Cu
0.410 0.127 0.283 Cu
0.500 0.000 0.500 Cu
0.590 0.873 0.717 Cu
0.688 0.330 0.358 Cu
0.844 0.127 0.717 Cu
0.971 0.330 0.642 Cu
```

Values from the calculation:
Energy relative to the elements: -229 meV per atom
Symmetry: Immm, No. 71

=====

Material: Dy7Zn2Cu2
Method: DFT, PBE-GGA
State: optimized geometry

The structure in POSCAR format:
```
Dy7Zn2Cu2
1.0
3.778 -5.460 0.000
3.778 5.460 0.000
0.000 0.000 7.084
Dy Zn Cu
7 2 2
direct
0.000 0.000 0.000 Dy
0.000 0.500 0.267 Dy
0.000 0.500 0.733 Dy
0.500 0.000 0.267 Dy
0.500 0.000 0.733 Dy
0.500 0.500 0.255 Dy
0.500 0.500 0.745 Dy
0.166 0.166 0.500 Zn
0.834 0.834 0.500 Zn
0.300 0.700 0.000 Cu
0.700 0.300 0.000 Cu
```

Values from the calculation:
Energy relative to the elements: 6 meV per atom
Symmetry: Cmmm, No. 65

=====

Material: Dy3Zn7Cu2
Method: DFT, PBE-GGA
State: optimized geometry

The structure in POSCAR format:
```
Dy3Zn7Cu2
1.0
2.675 1.544 8.599
-2.675 1.544 8.599
0.000 -3.088 8.599
Dy Zn Cu
3 7 2
direct
0.000 0.000 0.000 Dy
0.141 0.141 0.141 Dy
0.859 0.859 0.859 Dy
0.076 0.582 0.582 Zn
0.418 0.418 0.924 Zn
0.418 0.924 0.418 Zn
0.500 0.500 0.500 Zn
0.582 0.076 0.582 Zn
0.582 0.582 0.076 Zn
0.924 0.418 0.418 Zn
0.334 0.334 0.334 Cu
0.666 0.666 0.666 Cu
```

Values from the calculation:
Energy relative to the elements: -296 meV per atom
Symmetry: R-3m, No. 166

=====

Material: Dy2Zn3Cu2
Method: DFT, PBE-GGA
State: optimized geometry

The structure in POSCAR format:
```
Dy2Zn3Cu2
1.0
9.687 0.000 0.000
0.000 4.246 0.000
-2.643 0.000 6.175
Dy Zn Cu
4 6 4
direct
0.146 0.000 0.273 Dy
0.354 0.500 0.727 Dy
0.646 0.500 0.273 Dy
0.854 0.000 0.727 Dy
0.000 0.500 0.500 Zn
0.119 0.500 0.931 Zn
0.381 0.000 0.069 Zn
0.500 0.000 0.500 Zn
0.619 0.000 0.931 Zn
0.881 0.500 0.069 Zn
0.142 0.000 0.712 Cu
0.358 0.500 0.288 Cu
0.642 0.500 0.712 Cu
0.858 0.000 0.288 Cu
```

Values from the calculation:
Energy relative to the elements: -316 meV per atom
Symmetry: C2/m, No. 12

=====

Material: DyZn6Cu4
Method: DFT, PBE-GGA
State: optimized geometry

The structure in POSCAR format:
```
DyZn6Cu4
1.0
6.997 0.000 0.000
-3.498 6.059 0.000
0.000 0.000 4.007
Dy Zn Cu
1 6 4
direct
0.000 0.000 0.000 Dy
0.203 0.406 0.500 Zn
0.203 0.797 0.500 Zn
0.536 0.072 0.000 Zn
0.536 0.464 0.000 Zn
0.594 0.797 0.500 Zn
0.928 0.464 0.000 Zn
0.333 0.667 0.000 Cu
0.411 0.205 0.500 Cu
0.795 0.205 0.500 Cu
0.795 0.589 0.500 Cu
```

Values from the calculation:
Energy relative to the elements: -153 meV per atom
Symmetry: P-6m2, No. 187

=====

Material: Dy2Zn12Cu5
Method: DFT, PBE-GGA
State: optimized geometry

The structure in POSCAR format:
```
Dy2Zn12Cu5
1.0
4.414 2.549 4.318
-4.414 2.549 4.318
0.000 -5.097 4.318
Dy Zn Cu
2 12 5
direct
0.165 0.165 0.165 Dy
0.835 0.835 0.835 Dy
0.153 0.153 0.648 Zn
0.153 0.648 0.153 Zn
0.209 0.500 0.791 Zn
0.209 0.791 0.500 Zn
0.352 0.847 0.847 Zn
0.500 0.209 0.791 Zn
0.500 0.791 0.209 Zn
0.648 0.153 0.153 Zn
0.791 0.209 0.500 Zn
0.791 0.500 0.209 Zn
0.847 0.352 0.847 Zn
0.847 0.847 0.352 Zn
0.000 0.500 0.500 Cu
0.399 0.399 0.399 Cu
0.500 0.000 0.500 Cu
0.500 0.500 0.000 Cu
0.601 0.601 0.601 Cu
```

Values from the calculation:
Energy relative to the elements: -232 meV per atom
Symmetry: R-3m, No. 166

=====

Material: DyZnCu6
Method: DFT, PBE-GGA
State: optimized geometry

The structure in POSCAR format:
```
DyZnCu6
1.0
4.881 0.000 0.000
0.000 4.881 0.000
0.000 0.000 4.881
Dy Zn Cu
1 1 6
direct
0.000 0.000 0.000 Dy
0.500 0.500 0.500 Zn
0.000 0.258 0.500 Cu
0.000 0.742 0.500 Cu
0.258 0.500 0.000 Cu
0.500 0.000 0.258 Cu
0.500 0.000 0.742 Cu
0.742 0.500 0.000 Cu
```

Values from the calculation:
Energy relative to the elements: 22 meV per atom
Symmetry: Pm-3, No. 200

=====

Material: DyZn3Cu8
Method: DFT, PBE-GGA
State: optimized geometry

The structure in POSCAR format:
```
DyZn3Cu8
1.0
4.961 0.000 0.000
-2.480 4.296 0.000
0.000 0.000 8.008
Dy Zn Cu
1 3 8
direct
0.000 0.000 0.000 Dy
0.000 0.000 0.394 Zn
0.667 0.333 0.491 Zn
0.667 0.333 0.835 Zn
0.165 0.330 0.680 Cu
0.165 0.835 0.680 Cu
0.333 0.667 0.435 Cu
0.333 0.667 0.936 Cu
0.504 0.007 0.196 Cu
0.504 0.496 0.196 Cu
0.670 0.835 0.680 Cu
0.993 0.496 0.196 Cu
```

Values from the calculation:
Energy relative to the elements: -83 meV per atom
Symmetry: P3m1, No. 156

=====

Material: Dy3Zn2Cu7
Method: DFT, PBE-GGA
State: optimized geometry

The structure in POSCAR format:
```
Dy3Zn2Cu7
1.0
2.614 1.509 8.292
-2.614 1.509 8.292
0.000 -3.019 8.292
Dy Zn Cu
3 2 7
direct
0.000 0.000 0.000 Dy
0.142 0.142 0.142 Dy
0.858 0.858 0.858 Dy
0.333 0.333 0.333 Zn
0.667 0.667 0.667 Zn
0.083 0.583 0.583 Cu
0.417 0.417 0.917 Cu
0.417 0.917 0.417 Cu
0.500 0.500 0.500 Cu
0.583 0.083 0.583 Cu
0.583 0.583 0.083 Cu
0.917 0.417 0.417 Cu
```

Values from the calculation:
Energy relative to the elements: -242 meV per atom
Symmetry: R-3m, No. 166